Density functional theory data (GGA-PBE) for a geometry-optimized Ca2Cu4SbAs3 structure.

Values from the calculation:
Magnetization (Bohr magnetons per cell): 0.00
Uncorrected energy (eV/atom): -4.308
Formation energy from raw total energies (eV/atom): -0.46
Space group: P-4m2

Structure (POSCAR):
```
Ca2Cu4SbAs3
1.0
4.2481 0.0000 0.0000
0.0000 4.2481 0.0000
0.0000 0.0000 10.5660
Ca Cu Sb As
2 4 1 3
Direct
0.0000 0.5000 0.2270
0.5000 0.0000 0.7730
0.0000 0.0000 0.0000
0.0000 0.5000 0.6460
0.5000 0.0000 0.3540
0.5000 0.5000 0.0000
0.0000 0.0000 0.5000
0.0000 0.5000 0.8701
0.5000 0.0000 0.1299
0.5000 0.5000 0.5000
```